(1)
The following is a DFT calculation (PBE-GGA) of a relaxed structure of PH2WBr.

Structure (extended XYZ):
```
5
Lattice="3.6052 0.0000 0.0000 0.0000 5.0225 0.0000 0.0000 0.0000 3.6052" Properties=species:S:1:pos:R:3 pbc="T T T"
P 0.0000 0.0000 0.0000
Br 1.8026 2.5113 1.8026
W 0.0000 2.5113 0.0000
H 0.0000 0.0000 1.8026
H 1.8026 0.0000 0.0000
```

* VASP energy: -4.60 eV per atom
* ρ: 7.55 g/cm³

---

(2)
The following is a DFT calculation (PBE-GGA) of a relaxed structure of PaHBr.

Structure (extended XYZ):
```
6
Lattice="-2.0490 2.8804 -1.9543 -3.1672 -0.5776 -1.7045 -6.3277 3.5596 7.7066" Properties=species:S:1:pos:R:3 pbc="T T T"
Pa -4.0269 3.6466 1.2487
Pa -7.5170 2.2157 2.7990
H -5.6351 3.5876 2.8479
H -5.9088 2.2747 1.1998
Br -2.6150 1.1607 0.2785
Br -8.9289 4.7016 3.7692
```

* E above lowest polymorph: 0 meV/atom
* ρ: 8.14 g/cm³

---

(3)
The following is a DFT calculation (PBE-GGA) of a relaxed structure of PaH2Br.

Structure (extended XYZ):
```
4
Lattice="3.7792 0.0000 0.0000 1.8896 3.2729 0.0000 1.8896 1.0910 4.9581" Properties=species:S:1:pos:R:3 pbc="T T T"
H 1.8896 1.0910 2.0423
H 5.6687 3.2729 2.9158
Pa 3.7792 2.1819 2.4790
Br 0.0000 0.0000 0.0000
```

* VASP energy: -4.97 eV per atom
* ρ: 8.47 g/cm³

---

(4)
The following is a DFT calculation (PBE-GGA) of a relaxed structure of PaH3Br6.

Structure (extended XYZ):
```
10
Lattice="-6.0223 -3.1667 -2.0730 5.9878 0.0858 -5.3232 1.7792 -5.2285 2.8180" Properties=species:S:1:pos:R:3 pbc="T T T"
Pa -2.1215 -4.1976 0.3725
H -0.6805 -3.7362 -4.5186
H 2.4252 -4.5732 -0.0596
H 0.0000 0.0000 0.0000
Br -3.8076 -3.9077 -1.7815
Br 2.2905 -6.1168 -3.9195
Br 5.5523 -4.4016 -2.7967
Br -0.5458 -2.1926 -0.6587
Br 2.4527 -2.3601 -3.5200
Br -0.7080 -5.9492 -1.0582
```

* VASP energy: -3.18 eV per atom
* ρ: 3.76 g/cm³

---

(5)
The following is a DFT calculation (PBE-GGA) of a relaxed structure of PaH2Br3.

Structure (extended XYZ):
```
12
Lattice="-0.9740 8.0261 1.7569 -6.1942 -4.2598 -3.4555 -2.3997 -1.6884 6.3831" Properties=species:S:1:pos:R:3 pbc="T T T"
Pa 0.0000 0.0000 0.0000
Pa -1.1998 -0.8442 3.1915
H -6.7630 -1.7890 4.4235
H -3.8231 3.1505 2.9694
H -2.8049 3.8669 0.2610
H -5.7448 -1.0726 1.7150
Br -6.4528 1.4392 -0.1123
Br -2.7585 -0.5019 0.7631
Br -5.9508 -2.6972 -1.0177
Br -3.1151 0.6387 4.7967
Br -6.8094 2.5797 3.9213
Br -3.6171 4.7751 5.7021
```

* VASP energy: -3.67 eV per atom
* ρ: 3.77 g/cm³

---

(6)
The following is a DFT calculation (PBE-GGA) of a relaxed structure of PaH2Br6.

Structure (extended XYZ):
```
9
Lattice="6.6171 0.0000 0.0000 3.3086 5.7306 0.0000 3.3086 1.9102 7.2397" Properties=species:S:1:pos:R:3 pbc="T T T"
Pa 6.6171 3.8204 7.2390
H 9.9257 5.7306 5.6466
H 6.6171 3.8204 1.5967
Br 8.8544 4.0561 5.5509
Br 5.2943 5.6401 5.5509
Br 5.7026 1.7650 5.5509
Br 4.6319 3.7139 1.6949
Br 7.7020 2.1544 1.6949
Br 7.5175 5.5929 1.6949
```

* VASP energy: -3.61 eV per atom
* ρ: 4.31 g/cm³

---

(7)
The following is a DFT calculation (PBE-GGA) of a relaxed structure of PaHBr6.

Structure (extended XYZ):
```
8
Lattice="-2.0212 4.0681 7.2686 -5.1849 -2.4980 4.3489 -0.8443 -1.9779 11.3489" Properties=species:S:1:pos:R:3 pbc="T T T"
Pa 0.0000 0.0000 0.0000
H -4.0252 -0.2039 11.4832
Br -3.5954 -1.6111 10.6034
Br -7.4084 -0.6838 20.3887
Br -2.4344 1.4342 7.4248
Br -0.6420 0.2760 2.5777
Br -4.4550 1.2033 12.3629
Br -5.6159 -1.8420 15.5415
```

* VASP energy: -3.97 eV per atom
* ρ: 3.65 g/cm³

---

(8)
The following is a DFT calculation (PBE-GGA) of a relaxed structure of PaHBr.

Structure (extended XYZ):
```
6
Lattice="-0.0845 -0.5792 -5.7382 -0.0583 -3.5233 0.3565 -5.6659 0.4471 3.4916" Properties=species:S:1:pos:R:3 pbc="T T T"
H -3.9309 -0.6131 2.0947
H -1.8778 -3.0424 -3.9849
Pa -2.4881 -0.8042 0.4421
Pa -3.3206 -2.8513 -2.3322
Br -5.1016 -0.8844 -0.7784
Br -0.7071 -2.7710 -1.1118
```

* E above lowest polymorph: 200 meV/atom
* ρ: 8.87 g/cm³

---

(9)
The following is a DFT calculation (PBE-GGA) of a relaxed structure of PaH2Br8.

Structure (extended XYZ):
```
11
Lattice="7.7109 0.0000 0.0000 -3.8555 6.8039 -0.7685 0.0000 0.0553 8.1253" Properties=species:S:1:pos:R:3 pbc="T T T"
Pa 0.0000 0.0000 0.0000
H 3.8554 3.0948 5.3809
H 0.0000 3.7644 1.9759
Br 5.8075 1.7818 0.7682
Br 1.9034 1.7817 0.7682
Br -1.9521 5.0774 6.5886
Br 0.0000 4.8758 2.8909
Br 1.9521 5.0774 6.5886
Br 3.8554 5.7110 1.7139
Br 0.0000 1.1482 5.6429
Br 3.8554 1.9834 4.4659
```

* E above lowest polymorph: 0 meV/atom
* ρ: 3.40 g/cm³

---

(10)
The following is a DFT calculation (PBE-GGA) of a relaxed structure of PaHBr4.

Structure (extended XYZ):
```
12
Lattice="5.7743 0.0000 0.0000 0.0000 8.2599 0.0000 -2.8872 0.0000 10.9301" Properties=species:S:1:pos:R:3 pbc="T T T"
Pa 2.8872 6.7979 1.8852
Pa 0.0000 2.6680 9.0448
H 2.8872 5.4860 5.4368
H 0.0000 1.3561 5.4933
Br 2.8872 2.5015 9.1180
Br 0.0000 6.6314 1.8121
Br 0.0000 8.2449 10.3375
Br 2.8872 4.1149 0.5926
Br 2.8872 4.7469 4.1802
Br 0.0000 0.6169 6.7499
Br 2.8872 0.5823 3.7418
Br 0.0000 4.7122 7.1883
```

* VASP energy: -4.08 eV per atom
* ρ: 3.51 g/cm³

---

(11)
The following is a DFT calculation (PBE-GGA) of a relaxed structure of PaHSBr.

Structure (extended XYZ):
```
4
Lattice="3.8966 -0.0130 -0.0025 -1.9368 3.3812 0.0025 -1.9354 -1.1281 7.1316" Properties=species:S:1:pos:R:3 pbc="T T T"
Pa 2.4807 0.8109 0.7213
H 0.5362 1.9423 0.8752
S -3.3445 1.9460 6.3202
Br 0.5298 -0.3083 2.7563
```

* VASP energy: -5.89 eV per atom
* ρ: 6.09 g/cm³

---

(12)
The following is a DFT calculation (PBE-GGA) of a relaxed structure of HPbBr2.

Structure (extended XYZ):
```
4
Lattice="2.0769 0.0000 8.5206 -1.0384 1.7986 8.5206 -1.0384 -1.7986 8.5206" Properties=species:S:1:pos:R:3 pbc="T T T"
Pb 0.0000 0.0000 0.0000
H 0.0000 0.0000 12.7809
Br 0.0000 0.0000 22.6527
Br 0.0000 0.0000 2.9091
```

* VASP energy: -2.33 eV per atom
* ρ: 6.40 g/cm³

---

(13)
The following is a DFT calculation (PBE-GGA) of a relaxed structure of H2PbBr3.

Structure (extended XYZ):
```
12
Lattice="-2.8147 -0.6781 -9.0189 5.5801 -6.6810 3.7350 -5.7708 -3.6592 2.0761" Properties=species:S:1:pos:R:3 pbc="T T T"
H 1.6427 -5.4023 -0.1065
H -4.0409 -5.2309 -3.3198
H -4.6481 -5.6160 -3.1013
H 1.0355 -5.7873 0.1120
Pb 0.0000 0.0000 0.0000
Pb -2.8854 -1.8296 1.0381
Br 1.3296 -7.1541 -2.7721
Br -0.2799 -2.8710 0.3033
Br 2.9678 -6.7594 2.4771
Br -4.3350 -3.8642 -0.4357
Br -2.7254 -8.1473 -3.5111
Br -5.9732 -4.2588 -5.6849
```

* VASP energy: -2.93 eV per atom
* ρ: 2.69 g/cm³

---

(14)
The following is a DFT calculation (PBE-GGA) of a relaxed structure of HPb3Br.

Structure (extended XYZ):
```
5
Lattice="5.0672 0.0000 0.0000 0.0000 5.0672 0.0000 0.0000 0.0000 5.0672" Properties=species:S:1:pos:R:3 pbc="T T T"
Pb 0.0000 2.5336 0.0000
Pb 0.0000 0.0000 2.5336
Pb 2.5336 0.0000 0.0000
H 0.0000 0.0000 0.0000
Br 2.5336 2.5336 2.5336
```

* E above lowest polymorph: 0 meV/atom
* ρ: 8.97 g/cm³

---

(15)
The following is a DFT calculation (PBE-GGA) of a relaxed structure of HPbBr2.

Structure (extended XYZ):
```
8
Lattice="-1.3761 2.0873 3.6155 4.0133 -3.0592 3.2936 7.4304 6.1150 -3.3743" Properties=species:S:1:pos:R:3 pbc="T T T"
H 1.5930 -0.1387 0.6864
H 8.4746 5.2817 2.8484
Pb 4.7478 4.9850 1.6013
Pb 5.3198 0.1580 1.9335
Br 3.7939 2.1980 0.1750
Br 6.2738 2.9450 3.3598
Br 6.7244 5.3094 -0.5058
Br 3.3433 -0.1664 4.0407
```

* VASP energy: -2.71 eV per atom
* ρ: 4.63 g/cm³

---

(16)
The following is a DFT calculation (PBE-GGA) of a relaxed structure of HPbBr2.

Structure (extended XYZ):
```
8
Lattice="-2.1396 -3.7744 6.6521 7.5239 0.2021 2.5347 1.9860 1.8041 6.4034" Properties=species:S:1:pos:R:3 pbc="T T T"
Pb 0.0000 0.0000 0.0000
Pb 1.2692 -1.8783 8.8245
H 2.6921 -1.7862 4.5934
H 6.1010 0.1100 6.7658
Br 0.0851 -1.9084 6.1206
Br 4.9461 0.1312 3.9713
Br 3.4573 0.0121 8.2303
Br 6.2520 -1.7714 12.8583
```

* VASP energy: -2.62 eV per atom
* ρ: 4.75 g/cm³

---

(17)
The following is a DFT calculation (PBE-GGA) of a relaxed structure of HPbBr2.

Structure (extended XYZ):
```
4
Lattice="0.0000 3.7072 3.7072 3.7072 0.0000 3.7072 3.7072 3.7072 0.0000" Properties=species:S:1:pos:R:3 pbc="T T T"
Pb 3.7072 3.7072 3.7072
H 0.0000 0.0000 0.0000
Br 1.8536 1.8536 1.8536
Br 5.5609 5.5609 5.5609
```

* VASP energy: -2.70 eV per atom
* ρ: 6.00 g/cm³

---

(18)
The following is a DFT calculation (PBE-GGA) of a relaxed structure of H2Pb2Br3.

Structure (extended XYZ):
```
7
Lattice="-1.2117 -1.5995 -5.3683 -3.6975 -4.4276 -0.9054 -1.8263 8.1116 -5.0638" Properties=species:S:1:pos:R:3 pbc="T T T"
H -2.2508 -1.4648 -2.1147
H -4.4848 3.5494 -9.2228
Pb -5.0559 1.0944 -5.3033
Pb -1.6797 0.9901 -6.0342
Br -0.6059 -0.7997 -2.6841
Br -4.4541 -1.7007 -4.6063
Br -2.2814 3.7852 -6.7312
```

* VASP energy: -2.93 eV per atom
* ρ: 5.57 g/cm³

---

(19)
The following is a DFT calculation (PBE-GGA) of a relaxed structure of HPbBr2.

Structure (extended XYZ):
```
4
Lattice="-3.4956 4.1591 0.4601 -0.2063 -4.5555 -0.3105 3.2711 1.1105 6.8435" Properties=species:S:1:pos:R:3 pbc="T T T"
H -0.2206 -3.8455 0.0175
Pb -0.5685 -1.1445 3.7038
Br -0.9240 1.2860 1.9438
Br 0.3270 0.9450 6.0375
```

* VASP energy: -2.89 eV per atom
* ρ: 5.26 g/cm³

---

(20)
The following is a DFT calculation (PBE-GGA) of a relaxed structure of H2PdPbBr.

Structure (extended XYZ):
```
5
Lattice="-2.2533 0.4911 -2.9559 -1.5081 -8.0207 -0.1830 -2.9153 0.4956 2.3046" Properties=species:S:1:pos:R:3 pbc="T T T"
Pb -0.7540 -4.0104 -0.0915
H -1.4576 0.2478 1.1523
H -1.1266 0.2456 -1.4780
Br 0.0000 0.0000 0.0000
Pd -3.3383 -3.5170 -0.4171
```

* VASP energy: -2.99 eV per atom
* ρ: 5.72 g/cm³